DFT (PBE-GGA) results for a relaxed KPmBr3 crystal. Values from VASP.

space-group type = Pnma, No. 62
D(E_F) = 0.7 states/eV/f.u.
raw formation energy = -8.39 eV per formula unit
calculated density = 4.2 Mg/m³
electronic total energy = -77.034 eV for the cell shown

Cell and atoms, written as Quantum ESPRESSO input:
```
&SYSTEM
  ibrav = 0, nat = 20, ntyp = 3
/
ATOMIC_SPECIES
K 39.10 K.upf
Pm 145.00 Pm.upf
Br 79.90 Br.upf
CELL_PARAMETERS angstrom
9.5838 0.0000 0.0000
0.0000 4.1193 0.0000
0.0000 0.0000 16.8115
ATOMIC_POSITIONS crystal
K 0.0859 0.2500 0.1843
K 0.4141 0.7500 0.6843
K 0.5859 0.2500 0.3157
K 0.9141 0.7500 0.8157
Pm 0.1426 0.7500 0.4585
Pm 0.3574 0.2500 0.9585
Pm 0.6426 0.7500 0.0415
Pm 0.8574 0.2500 0.5415
Br 0.0352 0.7500 0.6270
Br 0.1623 0.7500 0.0222
Br 0.2041 0.2500 0.8059
Br 0.2959 0.7500 0.3059
Br 0.3377 0.2500 0.5222
Br 0.4648 0.2500 0.1270
Br 0.5352 0.7500 0.8730
Br 0.6623 0.7500 0.4778
Br 0.7041 0.2500 0.6941
Br 0.7959 0.7500 0.1941
Br 0.8377 0.2500 0.9778
Br 0.9648 0.2500 0.3730
```

DFT (PBE-GGA) results for a relaxed AlHgSb crystal. Values from VASP.

space-group type = F-43m, No. 216
D(E_F) = 0.5 states/eV/f.u.
raw formation energy = 0.20 eV per formula unit
calculated density = 7.5 Mg/m³
electronic total energy = -7.963 eV for the cell shown

Cell and atoms, written as Quantum ESPRESSO input:
```
&SYSTEM
  ibrav = 0, nat = 3, ntyp = 3
/
ATOMIC_SPECIES
Al 26.98 Al.upf
Hg 200.59 Hg.upf
Sb 121.76 Sb.upf
CELL_PARAMETERS angstrom
0.0000 3.3827 3.3827
3.3827 0.0000 3.3827
3.3827 3.3827 0.0000
ATOMIC_POSITIONS crystal
Al 0.0000 0.0000 0.0000
Hg 0.7500 0.7500 0.7500
Sb 0.2500 0.2500 0.2500
```

DFT (PBE-GGA) results for a relaxed ZrFeBr2 crystal. Values from VASP.

space-group type = I4/mmm, No. 139
D(E_F) = 4.9 states/eV/f.u.
raw formation energy = 0.79 eV per formula unit
calculated density = 6.5 Mg/m³
electronic total energy = -19.569 eV for the cell shown

Cell and atoms, written as Quantum ESPRESSO input:
```
&SYSTEM
  ibrav = 0, nat = 4, ntyp = 3
/
ATOMIC_SPECIES
Zr 91.22 Zr.upf
Fe 55.84 Fe.upf
Br 79.90 Br.upf
CELL_PARAMETERS angstrom
-2.2345 2.2345 3.9211
2.2345 -2.2345 3.9211
2.2345 2.2345 -3.9211
ATOMIC_POSITIONS crystal
Zr 0.0000 0.0000 0.0000
Fe 0.5000 0.5000 0.0000
Br 0.2500 0.7500 0.5000
Br 0.7500 0.2500 0.5000
```

DFT (PBE-GGA) results for a relaxed YGaPt crystal. Values from VASP.

space-group type = Imm2, No. 44
D(E_F) = 2.1 states/eV/f.u.
calculated density = 9.8 Mg/m³
energy relative to the elements = -3.3 eV per formula unit
electronic total energy = -112.947 eV for the cell shown

Cell and atoms, written as Quantum ESPRESSO input:
```
&SYSTEM
  ibrav = 0, nat = 18, ntyp = 3
/
ATOMIC_SPECIES
Y 88.91 Y.upf
Ga 69.72 Ga.upf
Pt 195.08 Pt.upf
CELL_PARAMETERS angstrom
-2.2183 10.5228 3.8335
2.2183 -10.5228 3.8335
2.2183 10.5228 -3.8335
ATOMIC_POSITIONS crystal
Y 0.0000 0.0000 0.0000
Y 0.0809 0.9160 0.1649
Y 0.3428 0.0132 0.3296
Y 0.4262 0.9262 0.5000
Y 0.6835 0.0132 0.6704
Y 0.7511 0.9160 0.8351
Ga 0.1898 0.2949 0.8949
Ga 0.3607 0.6355 0.7252
Ga 0.3999 0.2949 0.1051
Ga 0.7313 0.2963 0.4350
Ga 0.8613 0.2963 0.5650
Ga 0.9103 0.6355 0.2748
Pt 0.0329 0.6283 0.4046
Pt 0.0689 0.3078 0.7611
Pt 0.2237 0.6283 0.5954
Pt 0.5467 0.3078 0.2389
Pt 0.5474 0.6228 0.9246
Pt 0.6982 0.6228 0.0754
```

DFT (PBE-GGA) results for a relaxed FeNi2Pb crystal. Values from VASP.

space-group type = I-4m2, No. 119
D(E_F) = 3.7 states/eV/f.u.
calculated density = 11.0 Mg/m³
energy relative to the elements = 1.2 eV per formula unit
electronic total energy = -22.561 eV for the cell shown

Cell and atoms, written as Quantum ESPRESSO input:
```
&SYSTEM
  ibrav = 0, nat = 4, ntyp = 3
/
ATOMIC_SPECIES
Fe 55.84 Fe.upf
Ni 58.69 Ni.upf
Pb 207.20 Pb.upf
CELL_PARAMETERS angstrom
-1.9335 1.9335 3.8275
1.9335 -1.9335 3.8275
1.9335 1.9335 -3.8275
ATOMIC_POSITIONS crystal
Fe 0.0000 0.0000 0.0000
Ni 0.5000 0.5000 0.0000
Ni 0.7500 0.2500 0.5000
Pb 0.2500 0.7500 0.5000
```

DFT (PBE-GGA) results for a relaxed Ho8Cu2Pd crystal. Values from VASP.

space-group type = Cm, No. 8
D(E_F) = 14.6 states/eV/f.u.
calculated density = 8.8 Mg/m³
energy relative to the elements = -1.3 eV per formula unit
electronic total energy = -51.316 eV for the cell shown

Cell and atoms, written as Quantum ESPRESSO input:
```
&SYSTEM
  ibrav = 0, nat = 11, ntyp = 3
/
ATOMIC_SPECIES
Ho 164.93 Ho.upf
Cu 63.55 Cu.upf
Pd 106.42 Pd.upf
CELL_PARAMETERS angstrom
4.1624 -6.5051 0.0000
4.1624 6.5051 0.0000
-1.9089 0.0000 5.4232
ATOMIC_POSITIONS crystal
Ho 0.0000 0.0000 0.0000
Ho 0.0282 0.2817 0.5740
Ho 0.1566 0.5829 0.1862
Ho 0.2817 0.0282 0.5740
Ho 0.4560 0.7098 0.7886
Ho 0.5829 0.1566 0.1862
Ho 0.7098 0.4560 0.7886
Ho 0.7407 0.7407 0.3757
Cu 0.0678 0.6764 0.6910
Cu 0.6764 0.0678 0.6910
Pd 0.3718 0.3718 0.3222
```

DFT (PBE-GGA) results for a relaxed SmDy2In2 crystal. Values from VASP.

space-group type = P2_1/m, No. 11
D(E_F) = 4.5 states/eV/f.u.
calculated density = 8.3 Mg/m³
energy relative to the elements = -1.9 eV per formula unit
electronic total energy = -42.623 eV for the cell shown

Cell and atoms, written as Quantum ESPRESSO input:
```
&SYSTEM
  ibrav = 0, nat = 10, ntyp = 3
/
ATOMIC_SPECIES
Sm 150.36 Sm.upf
Dy 162.50 Dy.upf
In 114.82 In.upf
CELL_PARAMETERS angstrom
3.7706 0.0000 0.0000
0.0000 5.3904 0.0000
-1.8883 0.0000 13.9471
ATOMIC_POSITIONS crystal
Sm 0.1471 0.2500 0.2963
Sm 0.8529 0.7500 0.7037
Dy 0.0485 0.7500 0.0968
Dy 0.2364 0.7500 0.4733
Dy 0.7636 0.2500 0.5267
Dy 0.9515 0.2500 0.9032
In 0.3572 0.2500 0.7131
In 0.4513 0.7500 0.9035
In 0.5487 0.2500 0.0965
In 0.6428 0.7500 0.2869
```

DFT (PBE-GGA) results for a relaxed Tb3Dy5H12 crystal. Values from VASP.

space-group type = Ia-3d, No. 230
D(E_F) = 11.8 states/eV/f.u.
calculated density = 7.7 Mg/m³
electronic total energy = -346.125 eV for the cell shown

Cell and atoms, written as Quantum ESPRESSO input:
```
&SYSTEM
  ibrav = 0, nat = 80, ntyp = 3
/
ATOMIC_SPECIES
Tb 158.93 Tb.upf
Dy 162.50 Dy.upf
H 1.01 H.upf
CELL_PARAMETERS angstrom
-6.5394 6.5394 6.5394
6.5394 -6.5394 6.5394
6.5394 6.5394 -6.5394
ATOMIC_POSITIONS crystal
Tb 0.1250 0.2500 0.3750
Tb 0.1250 0.3750 0.7500
Tb 0.2500 0.3750 0.1250
Tb 0.2500 0.8750 0.6250
Tb 0.3750 0.1250 0.2500
Tb 0.3750 0.7500 0.1250
Tb 0.6250 0.2500 0.8750
Tb 0.6250 0.8750 0.7500
Tb 0.7500 0.1250 0.3750
Tb 0.7500 0.6250 0.8750
Tb 0.8750 0.6250 0.2500
Tb 0.8750 0.7500 0.6250
Dy 0.0000 0.0000 0.0000
Dy 0.0000 0.0000 0.5000
Dy 0.0000 0.5000 0.0000
Dy 0.0000 0.5000 0.5000
Dy 0.1250 0.7500 0.8750
Dy 0.1250 0.8750 0.2500
Dy 0.2500 0.1250 0.8750
Dy 0.2500 0.6250 0.3750
Dy 0.3750 0.2500 0.6250
Dy 0.3750 0.6250 0.7500
Dy 0.5000 0.0000 0.0000
Dy 0.5000 0.0000 0.5000
Dy 0.5000 0.5000 0.0000
Dy 0.5000 0.5000 0.5000
Dy 0.6250 0.3750 0.2500
Dy 0.6250 0.7500 0.3750
Dy 0.7500 0.3750 0.6250
Dy 0.7500 0.8750 0.1250
Dy 0.8750 0.1250 0.7500
Dy 0.8750 0.2500 0.1250
H 0.0651 0.2232 0.1531
H 0.0651 0.3419 0.9119
H 0.0701 0.7232 0.6581
H 0.0701 0.8469 0.4119
H 0.0881 0.6531 0.4299
H 0.0881 0.9349 0.6581
H 0.1531 0.0651 0.2232
H 0.1531 0.5881 0.9299
H 0.1581 0.2232 0.5701
H 0.1581 0.4349 0.5881
H 0.2232 0.1531 0.0651
H 0.2232 0.5701 0.1581
H 0.2768 0.3419 0.9299
H 0.2768 0.4349 0.3469
H 0.3419 0.9119 0.0651
H 0.3419 0.9299 0.2768
H 0.3469 0.2768 0.4349
H 0.3469 0.5701 0.9119
H 0.4119 0.0701 0.8469
H 0.4119 0.8419 0.5651
H 0.4299 0.0881 0.6531
H 0.4299 0.8419 0.7768
H 0.4349 0.3469 0.2768
H 0.4349 0.5881 0.1581
H 0.5651 0.4119 0.8419
H 0.5651 0.6531 0.7232
H 0.5701 0.1581 0.2232
H 0.5701 0.9119 0.3469
H 0.5881 0.1581 0.4349
H 0.5881 0.9299 0.1531
H 0.6531 0.4299 0.0881
H 0.6531 0.7232 0.5651
H 0.6581 0.0701 0.7232
H 0.6581 0.0881 0.9349
H 0.7232 0.5651 0.6531
H 0.7232 0.6581 0.0701
H 0.7768 0.4299 0.8419
H 0.7768 0.8469 0.9349
H 0.8419 0.5651 0.4119
H 0.8419 0.7768 0.4299
H 0.8469 0.4119 0.0701
H 0.8469 0.9349 0.7768
H 0.9119 0.0651 0.3419
H 0.9119 0.3469 0.5701
H 0.9299 0.1531 0.5881
H 0.9299 0.2768 0.3419
H 0.9349 0.6581 0.0881
H 0.9349 0.7768 0.8469
```

How do the records compare in total moment? In the order shown, they have 1.00; 0.00; 2.68; 0.00; 3.39; 0.00; 0.00; 0.00 μB per formula unit.
How do the records compare in calculated volume? In the order shown, they have 166; 77; 78; 60; 57; 294; 142; 280 Å³/f.u..